Below is an optimized crystal structure of Pm7HPt4, with properties calculated at the GGA-PBE level.

abc: 7.971 7.971 10.834
angles: 127.91 127.91 36.05
Fractional positions:
Pm 0.000 0.000 0.000
Pm 0.141 0.141 0.567
Pm 0.285 0.285 0.145
Pm 0.431 0.431 0.723
Pm 0.569 0.569 0.277
Pm 0.715 0.715 0.855
Pm 0.859 0.859 0.433
H 0.500 0.500 0.000
Pt 0.076 0.076 0.787
Pt 0.222 0.222 0.356
Pt 0.778 0.778 0.644
Pt 0.924 0.924 0.213

Computed properties:
Energy in eV/cell: -70.37
Space-group type: No. 12

---

Below is an optimized crystal structure of MgH12SO9, with properties calculated at the GGA-PBE level.

abc: 5.954 5.954 5.954
angles: 95.57 95.57 95.57
Fractional positions:
Mg 0.000 0.000 0.000
H 0.026 0.951 0.544
H 0.066 0.272 0.407
H 0.137 0.736 0.630
H 0.187 0.374 0.802
H 0.272 0.407 0.066
H 0.374 0.802 0.187
H 0.407 0.066 0.272
H 0.544 0.026 0.951
H 0.630 0.137 0.736
H 0.736 0.630 0.137
H 0.802 0.187 0.374
H 0.951 0.544 0.026
S 0.497 0.497 0.497
O 0.078 0.881 0.681
O 0.141 0.337 0.953
O 0.247 0.477 0.556
O 0.337 0.953 0.141
O 0.477 0.556 0.247
O 0.556 0.247 0.477
O 0.681 0.078 0.881
O 0.881 0.681 0.078
O 0.953 0.141 0.337

Computed properties:
Polymorph energy (0 for the lowest one) in meV per atom: 0
Energy in eV/cell: -119.28
Space-group type: No. 146

---

Below is an optimized crystal structure of KNaRe3, with properties calculated at the GGA-PBE level.

abc: 4.809 4.809 4.809
angles: 90.00 90.00 90.00
Fractional positions:
K 0.000 0.000 0.000
Na 0.500 0.500 0.500
Re 0.000 0.500 0.500
Re 0.500 0.000 0.500
Re 0.500 0.500 0.000

Computed properties:
Formation energy from the elements in eV per atom: 3.3669
Polymorph energy (0 for the lowest one) in meV per atom: 0
Energy in eV/cell: -22.93
Space-group type: No. 221

---

Below is an optimized crystal structure of KBeCr, with properties calculated at the GGA-PBE level.

abc: 4.136 4.136 5.467
angles: 90.00 90.00 120.00
Fractional positions:
K 0.000 0.000 0.000
Be 0.667 0.333 0.500
Cr 0.333 0.667 0.500

Computed properties:
Formation energy from the elements in eV per atom: 1.1234
Polymorph energy (0 for the lowest one) in meV per atom: 274
Energy in eV/cell: -11.08
Space-group type: No. 187

---

Below is an optimized crystal structure of K4Sb2Br, with properties calculated at the GGA-PBE level.

abc: 9.140 9.140 9.140
angles: 137.67 137.67 61.41
Fractional positions:
K 0.000 0.500 0.500
K 0.197 0.197 0.000
K 0.500 0.000 0.500
K 0.803 0.803 0.000
Sb 0.410 0.410 0.000
Sb 0.590 0.590 0.000
Br 0.000 0.000 0.000

Computed properties:
Energy in eV/cell: -18.77
Space-group type: No. 139
Energy relative to the elements, uncorrected in eV per atom: -0.637

---

Below is an optimized crystal structure of KNiBr2, with properties calculated at the GGA-PBE level.

abc: 5.349 5.349 5.349
angles: 60.00 60.00 60.00
Fractional positions:
K 0.000 0.000 0.000
Ni 0.750 0.750 0.750
Br 0.250 0.250 0.250
Br 0.500 0.500 0.500

Computed properties:
Polymorph energy (0 for the lowest one) in meV per atom: 878
Energy in eV/cell: -9.79
Space-group type: No. 216
Energy relative to the elements, uncorrected in eV per atom: 0.110

---

Below is an optimized crystal structure of K2LaBe, with properties calculated at the GGA-PBE level.

abc: 4.703 4.703 6.564
angles: 90.00 90.00 90.00
Fractional positions:
K 0.000 0.500 0.000
K 0.500 0.000 0.000
La 0.000 0.000 0.500
Be 0.500 0.500 0.500

Computed properties:
Formation energy from the elements in eV per atom: 0.7625
Energy in eV/cell: -7.80
Space-group type: No. 123

---

Below is an optimized crystal structure of AcPr4Rh4, with properties calculated at the GGA-PBE level.

abc: 9.258 9.258 5.831
angles: 90.00 90.00 90.00
Fractional positions:
Ac 0.250 0.250 0.250
Ac 0.750 0.750 0.750
Pr 0.071 0.655 0.179
Pr 0.155 0.929 0.679
Pr 0.345 0.571 0.679
Pr 0.429 0.845 0.179
Pr 0.571 0.155 0.821
Pr 0.655 0.429 0.321
Pr 0.845 0.071 0.321
Pr 0.929 0.345 0.821
Rh 0.038 0.624 0.672
Rh 0.124 0.962 0.172
Rh 0.376 0.538 0.172
Rh 0.462 0.876 0.672
Rh 0.538 0.124 0.328
Rh 0.624 0.462 0.828
Rh 0.876 0.038 0.828
Rh 0.962 0.376 0.328

Computed properties:
Formation energy from the elements in eV per atom: -0.5552
Energy in eV/cell: -115.26
Space-group type: No. 86

---

Below is an optimized crystal structure of Pr6Rh2AuCl3, with properties calculated at the GGA-PBE level.

abc: 7.283 7.283 7.922
angles: 98.70 98.70 120.14
Fractional positions:
Pr 0.080 0.430 0.791
Pr 0.218 0.218 0.210
Pr 0.430 0.080 0.791
Pr 0.570 0.920 0.209
Pr 0.782 0.782 0.790
Pr 0.920 0.570 0.209
Rh 0.166 0.834 0.000
Rh 0.834 0.166 0.000
Au 0.500 0.500 0.000
Cl 0.000 0.000 0.500
Cl 0.328 0.672 0.500
Cl 0.672 0.328 0.500

Computed properties:
Energy in eV/cell: -65.78
Space-group type: No. 12
Energy relative to the elements, uncorrected in eV per atom: -1.132

---

Below is an optimized crystal structure of MgSi2Ag, with properties calculated at the GGA-PBE level.

abc: 5.955 5.955 5.955
angles: 101.12 101.12 127.91
Fractional positions:
Mg 0.000 0.000 0.000
Mg 0.750 0.250 0.500
Si 0.156 0.625 0.031
Si 0.375 0.406 0.531
Si 0.594 0.125 0.969
Si 0.875 0.844 0.469
Ag 0.250 0.750 0.500
Ag 0.500 0.500 0.000

Computed properties:
Energy in eV/cell: -27.81
Space-group type: No. 122
Energy relative to the elements, uncorrected in eV per atom: 0.347

---

Below is an optimized crystal structure of Rb5Re3S7, with properties calculated at the GGA-PBE level.

abc: 10.722 10.756 10.756
angles: 60.96 60.60 60.99
Fractional positions:
Rb 0.000 0.000 0.000
Rb 0.000 0.420 0.993
Rb 0.319 0.859 0.406
Rb 0.415 0.016 0.974
Rb 0.430 0.418 0.561
Rb 0.433 0.395 0.987
Rb 0.441 0.011 0.559
Rb 0.546 0.585 0.110
Rb 0.851 0.861 0.852
Rb 0.916 0.025 0.439
Re 0.048 0.378 0.610
Re 0.049 0.622 0.366
Re 0.050 0.374 0.363
Re 0.803 0.621 0.609
Re 0.804 0.374 0.606
Re 0.806 0.616 0.361
S 0.038 0.613 0.603
S 0.039 0.161 0.598
S 0.044 0.608 0.148
S 0.200 0.791 0.222
S 0.202 0.207 0.212
S 0.205 0.221 0.771
S 0.265 0.389 0.374
S 0.588 0.608 0.597
S 0.651 0.208 0.756
S 0.652 0.786 0.763
S 0.654 0.763 0.196
S 0.811 0.388 0.823
S 0.812 0.833 0.373
S 0.814 0.384 0.370

Computed properties:
Energy in eV/cell: -168.48
Space-group type: No. 1
Energy relative to the elements, uncorrected in eV per atom: -0.878

---

Below is an optimized crystal structure of LiFe2Si, with properties calculated at the GGA-PBE level.

abc: 4.367 4.367 4.464
angles: 101.27 101.27 33.89
Fractional positions:
Li 0.000 0.000 0.000
Fe 0.236 0.236 0.742
Fe 0.764 0.764 0.258
Si 0.500 0.500 0.500

Computed properties:
Energy in eV/cell: -24.42
Space-group type: No. 12
Energy relative to the elements, uncorrected in eV per atom: -0.039

---

Number 1: DOS at the Fermi energy 9.56 states/eV/cell. Number 2: DOS at the Fermi energy 0.00 states/eV/cell. Number 3: DOS at the Fermi energy 3.66 states/eV/cell. Number 4: DOS at the Fermi energy 2.04 states/eV/cell. Number 5: DOS at the Fermi energy 5.46 states/eV/cell. Number 6: DOS at the Fermi energy 11.18 states/eV/cell. Number 7: DOS at the Fermi energy 5.70 states/eV/cell. Number 8: DOS at the Fermi energy 10.94 states/eV/cell. Number 9: DOS at the Fermi energy 9.57 states/eV/cell. Number 10: DOS at the Fermi energy 4.04 states/eV/cell. Number 11: DOS at the Fermi energy 0.00 states/eV/cell. Number 12: DOS at the Fermi energy 2.96 states/eV/cell.